# Ac9Co3Sn

Ac9Co3Sn after structural relaxation (PBE-GGA, the Alexandria database).

a b c (Å): 7.2576 11.1053 12.1946
angles (deg): 90.00 96.65 90.00
Last column: nearest neighbours and their distance in Å.
Positions (direct):
Ac1 0.1465 0.2500 0.9797  2 Co 2.99
Ac2 0.1535 0.9347 0.8032  2 Co 2.85-2.88
Ac3 0.1535 0.5653 0.8032  2 Co 2.85-2.88
Ac4 0.2434 0.9538 0.4543  2 Co 2.94-2.96
Ac5 0.2434 0.5462 0.4543  2 Co 2.94-2.96
Ac6 0.3029 0.2500 0.6531  2 Co 2.91
Ac7 0.3376 0.9312 0.1278  2 Co 2.82-2.85
Ac8 0.3376 0.5688 0.1278  2 Co 2.82-2.85
Ac9 0.4419 0.2500 0.3088  2 Co 2.95
Ac10 0.5581 0.7500 0.6912  2 Co 2.95
Ac11 0.6624 0.0688 0.8722  2 Co 2.82-2.85
Ac12 0.6624 0.4312 0.8722  2 Co 2.82-2.85
Ac13 0.6971 0.7500 0.3469  2 Co 2.91
Ac14 0.7566 0.0462 0.5457  2 Co 2.94-2.96
Ac15 0.7566 0.4538 0.5457  2 Co 2.94-2.96
Ac16 0.8465 0.0653 0.1968  2 Co 2.85-2.88
Ac17 0.8465 0.4347 0.1968  2 Co 2.85-2.88
Ac18 0.8535 0.7500 0.0203  2 Co 2.99
Co1 0.0000 0.0000 0.0000  6 Ac 2.85-2.99
Co2 0.0000 0.5000 0.0000  6 Ac 2.85-2.99
Co3 0.4446 0.4950 0.6744  6 Ac 2.82-2.96
Co4 0.4446 0.0050 0.6744  6 Ac 2.82-2.96
Co5 0.5554 0.9950 0.3256  6 Ac 2.82-2.96
Co6 0.5554 0.5050 0.3256  6 Ac 2.82-2.96
Sn1 0.0174 0.2500 0.4097  8 Ac 3.42-3.69
Sn2 0.9826 0.7500 0.5903  8 Ac 3.42-3.69

Properties
**Space-group type**: No. 11
**D(E_F)**: 28.2 states/eV/cell
**Uncorrected energy**: -4.879 eV/atom
**Calculated formation energy**: -1.14 eV per formula unit